## BaScCo (GGA-PBE)

Data for crystalline BaScCo at its relaxed geometry.

Cell: 11.2380 11.2380 11.2380 Å, 22.62 22.62 22.62°
Last column: nearest neighbours and their distance in Å.
Atoms (fractional coordinates):
Ba 0.2288 0.2288 0.2288  3 Co 3.44, 3 Sc 3.65
Ba 0.7712 0.7712 0.7712  3 Co 3.44, 3 Sc 3.65
Sc 0.3582 0.3582 0.3582  3 Co 2.56
Sc 0.6418 0.6418 0.6418  3 Co 2.56
Co 0.0342 0.0342 0.0342  1 Co 2.24
Co 0.9658 0.9658 0.9658  1 Co 2.24

Values from the calculation:
Fermi-level density of states: 0.92 states/eV per atom
E_form: 46.1 meV per atom
V: 30.708 Å³ per atom
space group: R-3m (166)
offset from the most stable computed form: 50.4 meV/atom
size of the total moment: 0.001 μB per formula unit

---

## PuPaBe2 (GGA-PBE)

Data for crystalline PuPaBe2 at its relaxed geometry.

Cell: 2.9740 2.9740 27.8812 Å, 90.00 90.00 120.00°
Last column: nearest neighbours and their distance in Å.
Atoms (fractional coordinates):
Pu 0.0000 0.0000 0.0000  6 Be 2.87, 6 Pu 2.97
Pu 0.3333 0.6667 0.6667  6 Be 2.87, 6 Pu 2.97
Pu 0.6667 0.3333 0.3333  6 Be 2.87, 6 Pu 2.97
Pa 0.0000 0.0000 0.5000  6 Be 2.91, 6 Pa 2.97
Pa 0.3333 0.6667 0.1667  6 Be 2.91, 6 Pa 2.97
Pa 0.6667 0.3333 0.8333  6 Be 2.91, 6 Pa 2.97
Be 0.0000 0.0000 0.2508  3 Pu 2.87, 3 Pa 2.91, 6 Be 2.97
Be 0.0000 0.0000 0.7492  3 Pu 2.87, 3 Pa 2.91, 6 Be 2.97
Be 0.3333 0.6667 0.4158  3 Pu 2.87, 3 Pa 2.91, 6 Be 2.97
Be 0.3333 0.6667 0.9175  3 Pu 2.87, 3 Pa 2.91, 6 Be 2.97
Be 0.6667 0.3333 0.0825  3 Pu 2.87, 3 Pa 2.91, 6 Be 2.97
Be 0.6667 0.3333 0.5841  3 Pu 2.87, 3 Pa 2.91, 6 Be 2.97

Values from the calculation:
Fermi-level density of states: 1.91 states/eV per atom
E_form: 506.4 meV per atom
V: 17.797 Å³ per atom
space group: R-3m (166)
size of the total moment: 4.659 μB per formula unit

---

## Li3GaF6 (GGA-PBE)

Data for crystalline Li3GaF6 at its relaxed geometry.

Cell: 6.2380 6.2380 6.2380 Å, 89.45 89.45 89.45°
Last column: nearest neighbours and their distance in Å.
Atoms (fractional coordinates):
Li 0.0093 0.7500 0.4907  4 F 1.97-2.00
Li 0.2500 0.5093 0.9907  4 F 1.97-2.00
Li 0.4907 0.0093 0.7500  4 F 1.97-2.00
Li 0.5093 0.9907 0.2500  4 F 1.97-2.00
Li 0.7500 0.4907 0.0093  4 F 1.97-2.00
Li 0.9907 0.2500 0.5093  4 F 1.97-2.00
Ga 0.0000 0.0000 0.0000  6 F 1.91
Ga 0.5000 0.5000 0.5000  6 F 1.91
F 0.0116 0.3053 0.9810  1 Ga 1.91, 2 Li 1.97-2.00
F 0.0190 0.9884 0.6947  1 Ga 1.91, 2 Li 1.97-2.00
F 0.1947 0.4884 0.5190  1 Ga 1.91, 2 Li 1.97-2.00
F 0.3053 0.9810 0.0116  1 Ga 1.91, 2 Li 1.97-2.00
F 0.4810 0.8053 0.5116  1 Ga 1.91, 2 Li 1.97-2.00
F 0.4884 0.5190 0.1947  1 Ga 1.91, 2 Li 1.97-2.00
F 0.5116 0.4810 0.8053  1 Ga 1.91, 2 Li 1.97-2.00
F 0.5190 0.1947 0.4884  1 Ga 1.91, 2 Li 1.97-2.00
F 0.6947 0.0190 0.9884  1 Ga 1.91, 2 Li 1.97-2.00
F 0.8053 0.5116 0.4810  1 Ga 1.91, 2 Li 1.97-2.00
F 0.9810 0.0116 0.3053  1 Ga 1.91, 2 Li 1.97-2.00
F 0.9884 0.6947 0.0190  1 Ga 1.91, 2 Li 1.97-2.00

Values from the calculation:
Fermi-level density of states: 0.00 states/eV per atom
V: 12.135 Å³ per atom
space group: R-3c (167)
offset from the most stable computed form: 38.5 meV/atom
size of the total moment: 0.000 μB per formula unit

---

## Tm3RhO6 (GGA-PBE)

Data for crystalline Tm3RhO6 at its relaxed geometry.

Cell: 6.4643 6.4643 6.4643 Å, 92.75 92.75 92.75°
Last column: nearest neighbours and their distance in Å.
Atoms (fractional coordinates):
Tm 0.0653 0.7555 0.5765  6 O 2.20-2.29
Tm 0.2445 0.4235 0.9347  6 O 2.20-2.29
Tm 0.4235 0.9347 0.2445  6 O 2.20-2.29
Tm 0.5765 0.0653 0.7555  6 O 2.20-2.29
Tm 0.7555 0.5765 0.0653  6 O 2.20-2.29
Tm 0.9347 0.2445 0.4235  6 O 2.20-2.29
Rh 0.0000 0.0000 0.0000  6 O 2.08
Rh 0.5000 0.5000 0.5000  6 O 2.13
O 0.0389 0.6917 0.9088  1 Rh 2.08, 3 Tm 2.22-2.25
O 0.0912 0.9611 0.3083  1 Rh 2.08, 3 Tm 2.22-2.25
O 0.1919 0.4303 0.5858  1 Rh 2.13, 3 Tm 2.20-2.29
O 0.3083 0.0912 0.9611  1 Rh 2.08, 3 Tm 2.22-2.25
O 0.4142 0.8081 0.5697  1 Rh 2.13, 3 Tm 2.20-2.29
O 0.4303 0.5858 0.1919  1 Rh 2.13, 3 Tm 2.20-2.29
O 0.5697 0.4142 0.8081  1 Rh 2.13, 3 Tm 2.20-2.29
O 0.5858 0.1919 0.4303  1 Rh 2.13, 3 Tm 2.20-2.29
O 0.6917 0.9088 0.0389  1 Rh 2.08, 3 Tm 2.22-2.25
O 0.8081 0.5697 0.4142  1 Rh 2.13, 3 Tm 2.20-2.29
O 0.9088 0.0389 0.6917  1 Rh 2.08, 3 Tm 2.22-2.25
O 0.9611 0.3083 0.0912  1 Rh 2.08, 3 Tm 2.22-2.25

Values from the calculation:
Fermi-level density of states: 0.00 states/eV per atom
V: 13.458 Å³ per atom
space group: R-3 (148)
E_tot: -7.97 eV per atom
size of the total moment: 0.000 μB per formula unit

---

## Tb4ThS6 (GGA-PBE)

Data for crystalline Tb4ThS6 at its relaxed geometry.

Cell: 6.7560 6.7560 19.7349 Å, 90.00 90.00 146.56°
Last column: nearest neighbours and their distance in Å.
Atoms (fractional coordinates):
Tb 0.0886 0.9114 0.6252  6 S 2.72-2.78
Tb 0.0886 0.9114 0.8748  6 S 2.72-2.78
Tb 0.3622 0.6378 0.5392  6 S 2.75-2.86
Tb 0.3622 0.6378 0.9608  6 S 2.75-2.86
Tb 0.6378 0.3622 0.0392  6 S 2.75-2.86
Tb 0.6378 0.3622 0.4608  6 S 2.75-2.86
Tb 0.9114 0.0886 0.1252  6 S 2.72-2.78
Tb 0.9114 0.0886 0.3748  6 S 2.72-2.78
Th 0.1551 0.8449 0.2500  6 S 2.81-2.88
Th 0.8449 0.1551 0.7500  6 S 2.81-2.88
S 0.0000 0.0000 0.0000  6 Tb 2.72-2.75
S 0.0000 0.0000 0.5000  6 Tb 2.72-2.75
S 0.1876 0.8124 0.7500  2 Tb 2.78, 2 Th 2.81
S 0.2673 0.7327 0.0918  5 Tb 2.77-2.86
S 0.2673 0.7327 0.4082  5 Tb 2.77-2.86
S 0.4506 0.5494 0.6676  3 Tb 2.77-2.78, 2 Th 2.88
S 0.4506 0.5494 0.8324  3 Tb 2.77-2.78, 2 Th 2.88
S 0.5494 0.4506 0.1676  3 Tb 2.77-2.78, 2 Th 2.88
S 0.5494 0.4506 0.3324  3 Tb 2.77-2.78, 2 Th 2.88
S 0.7327 0.2673 0.5918  5 Tb 2.77-2.86
S 0.7327 0.2673 0.9082  5 Tb 2.77-2.86
S 0.8124 0.1876 0.2500  2 Tb 2.78, 2 Th 2.81

Values from the calculation:
Fermi-level density of states: 0.34 states/eV per atom
V: 22.565 Å³ per atom
space group: Cmcm (63)
E_tot: -6.61 eV per atom
size of the total moment: 0.000 μB per formula unit

---

## LaSmHo2 (GGA-PBE)

Data for crystalline LaSmHo2 at its relaxed geometry.

Cell: 10.2161 5.1190 10.1498 Å, 90.00 90.00 90.00°
Last column: nearest neighbours and their distance in Å.
Atoms (fractional coordinates):
La 0.1271 0.2500 0.0003  4 Sm 3.57-3.64, 6 Ho 3.57-3.63, 2 La 3.65
La 0.3729 0.7500 0.5003  4 Sm 3.57-3.64, 6 Ho 3.57-3.63, 2 La 3.65
La 0.6271 0.2500 0.4997  4 Sm 3.57-3.64, 6 Ho 3.57-3.63, 2 La 3.65
La 0.8729 0.7500 0.9997  4 Sm 3.57-3.64, 6 Ho 3.57-3.63, 2 La 3.65
Sm 0.1250 0.7500 0.2529  8 Ho 3.55-3.64, 4 La 3.57-3.64
Sm 0.3750 0.2500 0.7529  8 Ho 3.55-3.64, 4 La 3.57-3.64
Sm 0.6250 0.7500 0.2471  8 Ho 3.55-3.64, 4 La 3.57-3.64
Sm 0.8750 0.2500 0.7471  8 Ho 3.55-3.64, 4 La 3.57-3.64
Ho 0.1216 0.2500 0.5005  4 Sm 3.55-3.64, 6 Ho 3.56-3.64, 2 La 3.63
Ho 0.1249 0.7500 0.7479  4 Ho 3.56-3.64, 4 La 3.57-3.63, 4 Sm 3.62
Ho 0.3751 0.2500 0.2479  4 Ho 3.56-3.64, 4 La 3.57-3.63, 4 Sm 3.62
Ho 0.3784 0.7500 0.0005  4 Sm 3.55-3.64, 6 Ho 3.56-3.64, 2 La 3.63
Ho 0.6216 0.2500 0.9995  4 Sm 3.55-3.64, 6 Ho 3.56-3.64, 2 La 3.63
Ho 0.6249 0.7500 0.7521  4 Ho 3.56-3.64, 4 La 3.57-3.63, 4 Sm 3.62
Ho 0.8751 0.2500 0.2521  4 Ho 3.56-3.64, 4 La 3.57-3.63, 4 Sm 3.62
Ho 0.8784 0.7500 0.4995  4 Sm 3.55-3.64, 6 Ho 3.56-3.64, 2 La 3.63

Values from the calculation:
Fermi-level density of states: 1.61 states/eV per atom
E_form: 26.4 meV per atom
V: 33.175 Å³ per atom
space group: Pnma (62)
offset from the most stable computed form: 10.5 meV/atom
size of the total moment: 0.000 μB per formula unit